Entry 1:
Compound: ScReHg2
Source: the Alexandria database
Functional: PBE
Structure: optimized geometry

Cell lengths 3.0124, 4.2225, 6.0729 Å; angles 90.00, 90.00, 90.00 degrees
Last column: nearest neighbours and their distance in Å.
Positions (direct):
Hg (0.0000, 0.0000, 0.9981)  2 Re 2.96-3.11, 6 Hg 3.01-3.05, 4 Sc 3.06
Hg (0.5000, 0.5000, 0.2614)  1 Sc 2.85, 4 Re 3.00, 6 Hg 3.01-3.05
Re (0.0000, 0.0000, 0.5101)  4 Sc 2.92, 6 Hg 2.96-3.11, 2 Re 3.01
Sc (0.5000, 0.5000, 0.7303)  5 Hg 2.85-3.06, 4 Re 2.92, 2 Sc 3.01

Summary:
energy above the lowest structure with this stoichiometry: 18 kJ/mol of formula units
DOS(E_F): 1.817 states/eV/cell
formation enthalpy at 0 K: 297 meV per atom


Entry 2:
Compound: CrCoNi14
Source: the Alexandria database
Functional: PBE
Structure: optimized geometry

Cell lengths 4.9797, 4.9797, 8.1435 Å; angles 90.00, 90.00, 120.13 degrees
Last column: nearest neighbours and their distance in Å.
Positions (direct):
Cr (0.0409, 0.9591, 0.5000)  10 Ni 2.47-2.49, 2 Co 2.48
Ni (0.7090, 0.7920, 0.0000)  12 Ni 2.48-2.51
Ni (0.3758, 0.6242, 0.2511)  1 Co 2.48, 11 Ni 2.48-2.51
Ni (0.0408, 0.4584, 0.5000)  8 Ni 2.48-2.49, 2 Cr 2.49, 2 Co 2.49
Ni (0.8747, 0.6255, 0.2524)  1 Co 2.48, 1 Cr 2.48, 10 Ni 2.48-2.51
Ni (0.8747, 0.6255, 0.7476)  1 Co 2.48, 1 Cr 2.48, 10 Ni 2.48-2.51
Ni (0.3745, 0.1253, 0.7476)  1 Co 2.48, 1 Cr 2.48, 10 Ni 2.48-2.51
Ni (0.7084, 0.2916, 0.0000)  12 Ni 2.48-2.51
Ni (0.8760, 0.1240, 0.2517)  1 Cr 2.47, 11 Ni 2.48-2.51
Ni (0.2080, 0.7920, 0.0000)  12 Ni 2.48-2.51
Ni (0.3758, 0.6242, 0.7489)  1 Co 2.48, 11 Ni 2.48-2.51
Ni (0.5416, 0.9592, 0.5000)  8 Ni 2.48-2.49, 2 Cr 2.49, 2 Co 2.49
Ni (0.8760, 0.1240, 0.7483)  1 Cr 2.47, 11 Ni 2.48-2.51
Ni (0.3745, 0.1253, 0.2524)  1 Co 2.48, 1 Cr 2.48, 10 Ni 2.48-2.51
Ni (0.2080, 0.2910, 0.0000)  12 Ni 2.48-2.51
Co (0.5412, 0.4588, 0.5000)  10 Ni 2.48-2.49, 2 Cr 2.48

Summary:
DOS(E_F): 26.931 states/eV/cell
formation enthalpy at 0 K: 28 meV per atom


Entry 3:
Compound: Nd4OsBr2Cl
Source: the Alexandria database
Functional: PBE
Structure: optimized geometry

Cell lengths 4.1191, 7.4793, 7.9763 Å; angles 107.67, 90.00, 90.00 degrees
Last column: nearest neighbours and their distance in Å.
Positions (direct):
Nd (0.5000, 0.2533, 0.2028)  1 Os 2.80, 2 Cl 2.93
Nd (0.0000, 0.2920, 0.7965)  2 Os 2.79, 1 Cl 3.09
Nd (0.5000, 0.7467, 0.7972)  1 Os 2.80, 2 Cl 2.93
Nd (0.0000, 0.7080, 0.2035)  2 Os 2.79, 1 Cl 3.09
Br (0.5000, 0.0000, 0.5000)  6 Nd 3.39-3.46
Br (0.0000, 0.5000, 0.5000)  6 Nd 3.20-3.26
Os (0.5000, 0.5000, 0.0000)  6 Nd 2.79-2.80
Cl (0.0000, 0.0000, 0.0000)  6 Nd 2.93-3.09

Summary:
raw formation energy: -0.99 eV per atom
DOS(E_F): 4.781 states/eV/cell


Entry 4:
Compound: ZrPtNF2
Source: the Alexandria database
Functional: PBE
Structure: optimized geometry

Cell lengths 4.0981, 4.0981, 4.3957 Å; angles 90.00, 90.00, 90.00 degrees
Last column: nearest neighbours and their distance in Å.
Positions (direct):
F (0.0000, 0.5000, 0.0000)  2 Zr 2.05
F (0.5000, 0.0000, 0.0000)  2 Zr 2.05
Pt (0.5000, 0.5000, 0.5000)  4 N 2.90, 8 F 3.00
Zr (0.0000, 0.0000, 0.0000)  4 F 2.05, 2 N 2.20
N (0.0000, 0.0000, 0.5000)  2 Zr 2.20

Summary:
raw formation energy: -1.09 eV per atom
energy above the lowest structure with this stoichiometry: 0 kJ/mol of formula units
DOS(E_F): 4.115 states/eV/cell


Entry 5:
Compound: YRu3C
Source: the Alexandria database
Functional: PBE
Structure: optimized geometry

Cell lengths 7.7776, 7.7776, 7.7776 Å; angles 60.00, 60.00, 60.00 degrees
Last column: nearest neighbours and their distance in Å.
Positions (direct):
Ru (0.8176, 0.1824, 0.1824)  2 C 2.04
Ru (0.0676, 0.4324, 0.4324)  2 C 2.04
Ru (0.1824, 0.1824, 0.8176)  2 C 2.04
Ru (0.1824, 0.8176, 0.8176)  2 C 2.04
Ru (0.0676, 0.0676, 0.4324)  2 C 2.04
Ru (0.0676, 0.4324, 0.0676)  2 C 2.04
Ru (0.8176, 0.8176, 0.1824)  2 C 2.04
Ru (0.4324, 0.0676, 0.0676)  2 C 2.04
Ru (0.1824, 0.8176, 0.1824)  2 C 2.04
Ru (0.8176, 0.1824, 0.8176)  2 C 2.04
Ru (0.4324, 0.0676, 0.4324)  2 C 2.04
Ru (0.4324, 0.4324, 0.0676)  2 C 2.04
Y (0.6250, 0.1250, 0.6250)  6 Ru 2.88
Y (0.6250, 0.6250, 0.1250)  6 Ru 2.88
Y (0.1250, 0.6250, 0.6250)  6 Ru 2.88
Y (0.6250, 0.6250, 0.6250)  6 Ru 2.88
C (0.1250, 0.1250, 0.1250)  6 Ru 2.04
C (0.6250, 0.1250, 0.1250)  6 Ru 2.04
C (0.1250, 0.1250, 0.6250)  6 Ru 2.04
C (0.1250, 0.6250, 0.1250)  6 Ru 2.04

Summary:
DOS(E_F): 11.018 states/eV/cell
formation enthalpy at 0 K: 175 meV per atom


Entry 6:
Compound: BaGa2Co
Source: the Alexandria database
Functional: PBE
Structure: optimized geometry

Cell lengths 5.5419, 5.5419, 8.1827 Å; angles 70.21, 70.21, 90.00 degrees
Last column: nearest neighbours and their distance in Å.
Positions (direct):
Ga (0.3754, 0.6250, 0.2500)  2 Co 2.27
Ga (0.3746, 0.1250, 0.2500)  2 Co 2.27
Ga (0.3750, 0.6254, 0.7500)  2 Co 2.27
Ga (0.8750, 0.6246, 0.7500)  2 Co 2.27
Ba (0.0000, 0.0000, 0.0000)  8 Ga 3.58, 4 Co 3.92
Ba (0.7500, 0.2500, 0.5000)  8 Ga 3.58, 4 Co 3.92
Co (0.5000, 0.5000, 0.0000)  4 Ga 2.27
Co (0.2500, 0.7500, 0.5000)  4 Ga 2.27

Summary:
DOS(E_F): 10.465 states/eV/cell
formation enthalpy at 0 K: -172 meV per atom


Entry 7:
Compound: Ca4LaCl
Source: the Alexandria database
Functional: PBE
Structure: optimized geometry

Cell lengths 7.1282, 7.1282, 7.1282 Å; angles 60.00, 60.00, 60.00 degrees
Last column: nearest neighbours and their distance in Å.
Positions (direct):
Ca (0.3732, 0.8803, 0.3732)  6 Ca 3.51-3.61
Ca (0.3732, 0.3732, 0.3732)  6 Ca 3.51-3.61
Ca (0.8803, 0.3732, 0.3732)  6 Ca 3.51-3.61
Ca (0.3732, 0.3732, 0.8803)  6 Ca 3.51-3.61
Cl (0.7500, 0.7500, 0.7500)  12 Ca 4.18, 4 La 4.37
La (0.0000, 0.0000, 0.0000)  12 Ca 4.17, 4 Cl 4.37

Summary:
raw formation energy: 0.11 eV per atom
DOS(E_F): 5.937 states/eV/cell


Entry 8:
Compound: CaNd7Ho2
Source: the Alexandria database
Functional: PBE
Structure: optimized geometry

Cell lengths 5.8515, 9.1933, 9.1933 Å; angles 120.70, 90.00, 90.00 degrees
Last column: nearest neighbours and their distance in Å.
Positions (direct):
Ca (0.0000, 0.0000, 0.0000)  10 Nd 3.86-3.89
Nd (0.5000, 0.5000, 0.5000)  2 Ho 3.27, 4 Nd 3.46
Nd (0.5000, 0.0634, 0.3011)  2 Ho 3.20-3.27, 2 Nd 3.32-3.46
Nd (0.5000, 0.9366, 0.6989)  2 Ho 3.20-3.27, 2 Nd 3.32-3.46
Nd (0.0000, 0.2436, 0.7564)  2 Ho 3.04
Nd (0.0000, 0.7564, 0.2436)  2 Ho 3.04
Nd (0.5000, 0.6989, 0.9366)  2 Ho 3.20-3.27, 2 Nd 3.32-3.46
Nd (0.5000, 0.3011, 0.0634)  2 Ho 3.20-3.27, 2 Nd 3.32-3.46
Ho (0.5000, 0.7049, 0.2951)  7 Nd 3.04-3.27
Ho (0.5000, 0.2951, 0.7049)  7 Nd 3.04-3.27

Summary:
energy above the lowest structure with this stoichiometry: 494 kJ/mol of formula units
DOS(E_F): 13.637 states/eV/cell
formation enthalpy at 0 K: 598 meV per atom


Entry 9:
Compound: LaNd4Y2Sc
Source: the Alexandria database
Functional: PBE
Structure: optimized geometry

Cell lengths 5.1101, 11.4068, 5.0911 Å; angles 63.53, 90.00, 90.00 degrees
Last column: nearest neighbours and their distance in Å.
Positions (direct):
Nd (0.5000, 0.2518, 0.7484)  2 La 3.59, 2 Sc 3.60, 4 Nd 3.61, 4 Y 3.62-3.63
Nd (0.0000, 0.2523, 0.2478)  2 Sc 3.59, 2 La 3.60, 4 Nd 3.61, 4 Y 3.62-3.63
Nd (0.0000, 0.7477, 0.7522)  2 Sc 3.59, 2 La 3.60, 4 Nd 3.61, 4 Y 3.62-3.63
Nd (0.5000, 0.7482, 0.2516)  2 La 3.59, 2 Sc 3.60, 4 Nd 3.61, 4 Y 3.62-3.63
La (0.5000, 0.5000, 0.0000)  8 Nd 3.59-3.60, 4 Sc 3.61
Sc (0.0000, 0.5000, 0.5000)  8 Nd 3.59-3.60, 4 La 3.61
Y (0.0000, 0.0000, 0.0000)  4 Y 3.61, 8 Nd 3.62-3.63
Y (0.5000, 0.0000, 0.5000)  4 Y 3.61, 8 Nd 3.62-3.63

Summary:
DOS(E_F): 11.823 states/eV/cell
formation enthalpy at 0 K: 30 meV per atom


Entry 10:
Compound: TbCdHgPb
Source: the Alexandria database
Functional: PBE
Structure: optimized geometry

Cell lengths 5.2748, 5.2748, 5.2748 Å; angles 60.00, 60.00, 60.00 degrees
Last column: nearest neighbours and their distance in Å.
Positions (direct):
Cd (0.7500, 0.7500, 0.7500)  4 Hg 3.23, 4 Pb 3.23
Pb (0.5000, 0.5000, 0.5000)  4 Cd 3.23, 4 Tb 3.23
Tb (0.2500, 0.2500, 0.2500)  4 Hg 3.23, 4 Pb 3.23
Hg (0.0000, 0.0000, 0.0000)  4 Tb 3.23, 4 Cd 3.23

Summary:
energy above the lowest structure with this stoichiometry: 52 kJ/mol of formula units
DOS(E_F): 3.525 states/eV/cell
formation enthalpy at 0 K: -215 meV per atom


Entry 11:
Compound: Te2MoBr
Source: the Alexandria database
Functional: PBE
Structure: optimized geometry

Cell lengths 5.3243, 5.3243, 4.1158 Å; angles 90.00, 90.00, 114.87 degrees
Last column: nearest neighbours and their distance in Å.
Positions (direct):
Te (0.5000, 0.5000, 0.0000)  2 Te 2.87
Te (0.0000, 0.0000, 0.0000)  2 Te 2.87
Mo (0.0000, 0.5000, 0.5000)  2 Br 2.87
Br (0.5000, 0.0000, 0.5000)  2 Mo 2.87

Summary:
raw formation energy: 0.72 eV per atom
energy above the lowest structure with this stoichiometry: 309 kJ/mol of formula units
DOS(E_F): 1.508 states/eV/cell


Entry 12:
Compound: La2MgAl3Pd4
Source: the Alexandria database
Functional: PBE
Structure: optimized geometry

Cell lengths 4.3985, 4.3985, 10.5317 Å; angles 90.00, 90.00, 90.00 degrees
Last column: nearest neighbours and their distance in Å.
Positions (direct):
Pd (0.5000, 0.5000, 0.0000)  4 Al 2.53
Pd (0.0000, 0.0000, 0.0000)  4 Al 2.53
Pd (0.5000, 0.0000, 0.6392)  3 Al 2.54-2.64, 2 Mg 2.64
Pd (0.0000, 0.5000, 0.3608)  3 Al 2.54-2.64, 2 Mg 2.64
Al (0.0000, 0.5000, 0.1195)  5 Pd 2.53-2.54
Al (0.5000, 0.0000, 0.8805)  5 Pd 2.53-2.54
Al (0.0000, 0.0000, 0.5000)  4 Pd 2.64
La (0.5000, 0.0000, 0.2426)  8 Pd 3.35-3.37, 6 Al 3.37-3.49, 2 Mg 3.49
La (0.0000, 0.5000, 0.7574)  8 Pd 3.35-3.37, 6 Al 3.37-3.49, 2 Mg 3.49
Mg (0.5000, 0.5000, 0.5000)  4 Pd 2.64

Summary:
DOS(E_F): 7.101 states/eV/cell
formation enthalpy at 0 K: -815 meV per atom


Q: Among the records above, which one has the highest DOS(E_F)?
A: CrCoNi14